First-principles (PBE) data for crystalline AcNdPt4 at its relaxed geometry, as listed in Alexandria.

```
data_AcNdPt4
_chemical_formula_sum 'Ac4 Nd4 Pt16'
_cell_length_a 7.9055
_cell_length_b 7.9055
_cell_length_c 7.9055
_cell_angle_alpha 90.00
_cell_angle_beta 90.00
_cell_angle_gamma 90.00
_symmetry_space_group_name_H-M 'F -4 3 m'
_symmetry_Int_Tables_number 216
_symmetry_space_group_name_Hall 'F -4 2 3'
loop_
_atom_site_label
_atom_site_fract_x
_atom_site_fract_y
_atom_site_fract_z
Ac1 0.0000 0.0000 0.0000
Nd1 0.2500 0.2500 0.2500
Pt1 0.1248 0.1248 0.6248
```

Computed properties:
DOS at the Fermi energy (states/eV/f.u.): 1.36
Calculated formation energy (kJ/mol of formula units): -598
Total magnetization (μB/atom): 0.000


First-principles (PBE) data for crystalline Ac2NdPt at its relaxed geometry, as listed in Alexandria.

```
data_Ac2NdPt
_chemical_formula_sum 'Ac6 Nd3 Pt3'
_cell_length_a 4.2122
_cell_length_b 4.2122
_cell_length_c 29.3652
_cell_angle_alpha 90.00
_cell_angle_beta 90.00
_cell_angle_gamma 120.00
_symmetry_space_group_name_H-M 'R 3 m'
_symmetry_Int_Tables_number 160
_symmetry_space_group_name_Hall 'R 3 -2"'
loop_
_atom_site_label
_atom_site_fract_x
_atom_site_fract_y
_atom_site_fract_z
Ac1 0.0000 0.0000 0.0000
Ac2 0.0000 0.0000 0.2101
Nd1 0.0000 0.0000 0.4383
Pt1 0.0000 0.0000 0.6049
```

Computed properties:
DOS at the Fermi energy (states/eV/f.u.): 5.24
Calculated formation energy (kJ/mol of formula units): -190
Total magnetization (μB/atom): 0.000
Polymorph energy (0 for the lowest one) (eV/atom): 0.110


First-principles (PBE) data for crystalline AcNd3Pt2 at its relaxed geometry, as listed in Alexandria.

```
data_AcNd3Pt2
_chemical_formula_sum 'Ac4 Nd12 Pt8'
_cell_length_a 17.8694
_cell_length_b 5.1597
_cell_length_c 8.8789
_cell_angle_alpha 90.00
_cell_angle_beta 119.55
_cell_angle_gamma 90.00
_symmetry_space_group_name_H-M 'C 1 2/m 1'
_symmetry_Int_Tables_number 12
_symmetry_space_group_name_Hall '-C 2y'
loop_
_atom_site_label
_atom_site_fract_x
_atom_site_fract_y
_atom_site_fract_z
Ac1 0.1542 0.0000 0.2528
Nd1 0.0550 0.0000 0.7385
Nd2 0.1060 0.5000 0.5101
Nd3 0.1945 0.5000 0.9928
Pt1 0.0111 0.5000 0.8608
Pt2 0.1982 0.0000 0.6378
```

Computed properties:
DOS at the Fermi energy (states/eV/f.u.): 5.77
Calculated formation energy (kJ/mol of formula units): -386
Total magnetization (μB/atom): 0.000
Polymorph energy (0 for the lowest one) (eV/atom): 0.129


First-principles (PBE) data for crystalline AcNd4Pt at its relaxed geometry, as listed in Alexandria.

```
data_AcNd4Pt
_chemical_formula_sum 'Ac4 Nd16 Pt4'
_cell_length_a 5.8872
_cell_length_b 19.0438
_cell_length_c 7.9840
_cell_angle_alpha 90.00
_cell_angle_beta 90.00
_cell_angle_gamma 90.00
_symmetry_space_group_name_H-M 'C m c m'
_symmetry_Int_Tables_number 63
_symmetry_space_group_name_Hall '-C 2c 2'
loop_
_atom_site_label
_atom_site_fract_x
_atom_site_fract_y
_atom_site_fract_z
Ac1 0.0000 0.1105 0.2500
Nd1 0.0000 0.1188 0.7500
Nd2 0.0000 0.2939 0.5039
Nd3 0.0000 0.5000 0.0000
Pt1 0.0000 0.3969 0.2500
```

Computed properties:
DOS at the Fermi energy (states/eV/f.u.): 8.03
Calculated formation energy (kJ/mol of formula units): -146
Total magnetization (μB/atom): 0.000